# PBE-GGA ScP2Ir, optimized geometry
# Calculated formation energy in eV per atom: -0.387
# Offset from the most stable computed form in kJ/mol of formula units: 187
# Magnetic moment in μB/f.u.: 0.00
data_ScP2Ir
_symmetry_space_group_name_H-M 'P 4 m m'
_symmetry_Int_Tables_number 99
_symmetry_space_group_name_Hall 'P 4 -2'
_cell_length_a 2.931
_cell_length_b 2.931
_cell_length_c 8.106
_cell_angle_alpha 90.00
_cell_angle_beta 90.00
_cell_angle_gamma 90.00
loop_
_atom_site_label
_atom_site_type_symbol
_atom_site_fract_x
_atom_site_fract_y
_atom_site_fract_z
Sc1 Sc 0.000 0.000 0.000
P1 P 0.000 0.000 0.427
P2 P 0.500 0.500 0.781
Ir1 Ir 0.500 0.500 0.265

***

# PBE-GGA PmErPu4, optimized geometry
# Calculated formation energy in eV per atom: 0.236
# Magnetic moment in μB/f.u.: 22.67
data_PmErPu4
_symmetry_space_group_name_H-M 'F -4 3 m'
_symmetry_Int_Tables_number 216
_symmetry_space_group_name_Hall 'F -4 2 3'
_cell_length_a 8.739
_cell_length_b 8.739
_cell_length_c 8.739
_cell_angle_alpha 90.00
_cell_angle_beta 90.00
_cell_angle_gamma 90.00
loop_
_atom_site_label
_atom_site_type_symbol
_atom_site_fract_x
_atom_site_fract_y
_atom_site_fract_z
Pm1 Pm 0.000 0.000 0.000
Er1 Er 0.250 0.250 0.750
Pu1 Pu 0.125 0.125 0.375

***

# PBE-GGA Ru2PtCl, optimized geometry
# Offset from the most stable computed form in kJ/mol of formula units: 245
# E_form (uncorrected) in meV per atom: 922
# Magnetic moment in μB/f.u.: 1.04
data_Ru2PtCl
_symmetry_space_group_name_H-M 'F -4 3 m'
_symmetry_Int_Tables_number 216
_symmetry_space_group_name_Hall 'F -4 2 3'
_cell_length_a 6.267
_cell_length_b 6.267
_cell_length_c 6.267
_cell_angle_alpha 90.00
_cell_angle_beta 90.00
_cell_angle_gamma 90.00
loop_
_atom_site_label
_atom_site_type_symbol
_atom_site_fract_x
_atom_site_fract_y
_atom_site_fract_z
Ru1 Ru 0.000 0.000 0.000
Ru2 Ru 0.250 0.250 0.250
Pt1 Pt 0.250 0.250 0.750
Cl1 Cl 0.000 0.000 0.500